DFT (PBE) results for an optimized crystal structure of CsSrMnS4.

a b c (Å): 6.677 6.789 9.646
angles (deg): 90.00 108.15 90.00
Element x y z (fractional)
Mn 0.194 0.750 0.320
S 0.636 0.250 0.456
Cs 0.286 0.250 0.071
S 0.991 0.997 0.278
Mn 0.806 0.250 0.680
S 0.009 0.003 0.722
S 0.364 0.750 0.544
Sr 0.767 0.750 0.460
S 0.392 0.750 0.187
S 0.009 0.497 0.722
S 0.608 0.250 0.813
S 0.991 0.503 0.278
Cs 0.714 0.750 0.929
Sr 0.233 0.250 0.540

Output
For the total energy, the calculation gives -5.150 eV/atom. The uncorrected formation energy is -1119.8 meV/atom.



DFT (PBE) results for an optimized crystal structure of Er2ZnNi2.

a b c (Å): 5.357 5.357 7.636
angles (deg): 76.65 76.65 59.22
Element x y z (fractional)
Er 0.495 0.799 0.853
Er 0.799 0.495 0.353
Ni 0.998 0.279 0.996
Ni 0.279 0.998 0.496
Zn 0.845 0.155 0.750
Zn 0.155 0.845 0.250
Er 0.201 0.505 0.647
Ni 0.721 0.002 0.504
Er 0.505 0.201 0.147
Ni 0.002 0.721 0.004

Output
For the total energy, the calculation gives -4.875 eV/atom. As for the calculated formation energy: -483 meV/atom.



DFT (PBE) results for an optimized crystal structure of RbIn2AgBr8.

a b c (Å): 7.134 7.134 10.169
angles (deg): 90.00 90.00 120.00
Element x y z (fractional)
Br 0.318 0.323 0.325
Br 0.333 0.667 0.996
Br 0.005 0.682 0.325
Br 0.995 0.318 0.675
Br 0.667 0.333 0.004
Ag 0.000 0.000 0.500
In 0.333 0.667 0.746
In 0.667 0.333 0.254
Br 0.323 0.005 0.675
Rb 0.000 0.000 0.000
Br 0.682 0.677 0.675
Br 0.677 0.995 0.325

Output
For the total energy, the calculation gives -2.787 eV/atom. The uncorrected formation energy is -896.9 meV/atom.



DFT (PBE) results for an optimized crystal structure of ZnAgPd2.

a b c (Å): 2.879 2.879 8.900
angles (deg): 80.62 80.62 59.95
Element x y z (fractional)
Pd 0.257 0.257 0.229
Ag 0.500 0.500 0.500
Zn 0.667 0.667 0.000
Pd 0.076 0.076 0.770

Output
For the total energy, the calculation gives -3.882 eV/atom. As for the calculated formation energy: -254 meV/atom.



DFT (PBE) results for an optimized crystal structure of Y2Rh2Au.

a b c (Å): 7.336 7.336 3.819
angles (deg): 90.00 90.00 90.00
Element x y z (fractional)
Y 0.172 0.672 0.500
Y 0.672 0.828 0.500
Y 0.828 0.328 0.500
Rh 0.632 0.132 0.000
Rh 0.132 0.368 0.000
Au 0.000 0.000 0.000
Rh 0.868 0.632 0.000
Y 0.328 0.172 0.500
Au 0.500 0.500 0.000
Rh 0.368 0.868 0.000

Output
For the total energy, the calculation gives -6.975 eV/atom. As for the energy above the most stable polymorph in this dataset: 0 meV per atom. As for the calculated formation energy: -793 meV/atom.



DFT (PBE) results for an optimized crystal structure of Cs2YBS4.

a b c (Å): 5.875 7.875 13.158
angles (deg): 85.22 77.10 68.10
Element x y z (fractional)
B 0.250 0.500 0.500
S 0.286 0.165 0.907
S 0.943 0.665 0.593
S 0.358 0.835 0.093
Y 0.000 0.000 0.000
S 0.548 0.165 0.093
Y 0.750 0.500 0.500
Cs 0.927 0.500 0.146
S 0.202 0.335 0.407
B 0.500 0.000 0.000
Cs 0.573 0.500 0.854
S 0.464 0.335 0.593
Cs 0.177 0.000 0.646
S 0.392 0.665 0.407
S 0.807 0.835 0.907
Cs 0.823 0.000 0.354

Output
For the total energy, the calculation gives -5.080 eV/atom. The uncorrected formation energy is -1160.2 meV/atom.



M_tot list, top to bottom, in μB per formula unit: 2.0; 0.0; 0.0; 0.0; 0.0; 0.0